A relaxed structure of ZrScAl. Source: Alexandria via LeMat-Bulk, functional PBEsol.

Computed properties:
Raw total energy in eV per atom: -5.9648
Distance to the lowest polymorph of the same formula in meV/atom: 935
Space-group type: F-43m
Energy of formation in eV/f.u.: 1.9
V in Å³/f.u.: 73

Structure (POSCAR):
```
ZrScAl
1.0
-4.6811 0.1476 -0.2253
-2.1931 -1.1546 -3.9802
-2.4618 -3.9827 -0.2499
Sc Al Zr
1 1 1
Cartesian
-4.6680 -2.4948 -2.2277
0.0000 0.0000 0.0000
-2.3340 -1.2474 -1.1139
```

***

A relaxed structure of ZrScAl3. Source: Alexandria via LeMat-Bulk, functional PBEsol.

Computed properties:
Raw total energy in eV per atom: -4.7106
Space-group type: Pm-3m
Energy of formation in eV/f.u.: 4.4
V in Å³/f.u.: 113

Structure (POSCAR):
```
ZrScAl3
1.0
4.8293 0.0000 0.0000
0.0000 4.8293 0.0000
0.0000 0.0000 4.8293
Sc Al Zr
1 3 1
Cartesian
0.0000 0.0000 0.0000
0.0000 2.4146 0.0000
0.0000 0.0000 2.4146
2.4146 0.0000 0.0000
2.4146 2.4146 2.4146
```

***

A relaxed structure of Al2Se. Source: Alexandria via LeMat-Bulk, functional PBEsol.

Computed properties:
Raw total energy in eV per atom: -4.2123
Space-group type: P-3m1
V in Å³/f.u.: 57
Formation energy from raw total energies in eV per atom: -0.20

Structure (POSCAR):
```
Al2Se
1.0
-1.7579 0.2830 -3.0920
3.5099 -0.6410 0.0045
-0.9357 -5.1232 0.0630
Al Se
2 1
Cartesian
1.1239 -3.7828 -0.9853
-0.3076 -1.6983 -2.0392
0.0000 0.0000 0.0000
```

***

A relaxed structure of Al2Se. Source: Alexandria via LeMat-Bulk, functional PBEsol.

Computed properties:
Raw total energy in eV per atom: -4.2190
Space-group type: C2/m
V in Å³/f.u.: 58
Formation energy from raw total energies in eV per atom: -0.21

Structure (POSCAR):
```
Al2Se
1.0
3.5818 0.0000 0.0000
0.0000 5.5732 -0.0357
-1.7909 -0.3543 5.8594
Al Se
4 2
Cartesian
1.7909 1.5989 4.1216
1.7909 1.3427 0.2110
0.0000 3.8762 5.6127
0.0000 3.6200 1.7022
0.0000 1.1618 2.2313
1.7909 4.0571 3.5924
```

***

A relaxed structure of AlSe2. Source: Alexandria via LeMat-Bulk, functional PBEsol.

Computed properties:
Raw total energy in eV per atom: -3.4925
Space-group type: Fd-3m
V in Å³/f.u.: 66
Formation energy from raw total energies in eV per atom: 0.44

Structure (POSCAR):
```
AlSe2
1.0
-3.0537 -0.8133 4.7619
-2.7488 -4.9426 0.8226
1.8382 -3.6636 3.9826
Al Se
2 4
Cartesian
-1.9822 -4.7098 4.7835
-2.9733 -7.0647 7.1753
-0.4955 -1.1774 1.1959
0.4236 -3.0093 3.1872
-1.8700 -3.6488 1.6072
-2.0224 -1.5841 3.5768
```

***

A relaxed structure of Al2Se. Source: Alexandria via LeMat-Bulk, functional PBEsol.

Computed properties:
Raw total energy in eV per atom: -3.9628
Space-group type: Pnnm
V in Å³/f.u.: 62
Formation energy from raw total energies in eV per atom: 0.05

Structure (POSCAR):
```
Al2Se
1.0
-2.2697 1.8179 -1.8618
-2.6330 -4.1213 -0.8142
-3.8640 1.2893 5.9695
Al Se
4 2
Cartesian
-2.9255 0.2048 3.7664
-3.5715 -3.0367 1.3889
-6.1343 -0.6942 3.5986
-2.6324 -0.3199 -0.3050
0.0000 0.0000 0.0000
-4.3833 -0.5070 1.6468
```

***

A relaxed structure of Al2Se. Source: Alexandria via LeMat-Bulk, functional PBEsol.

Computed properties:
Raw total energy in eV per atom: -4.2070
Space-group type: P6_3/mmc
V in Å³/f.u.: 57
Formation energy from raw total energies in eV per atom: -0.20

Structure (POSCAR):
```
Al2Se
1.0
-0.2631 -1.8028 -3.0432
3.1735 0.4752 1.5111
-1.2330 -8.9332 5.3988
Al Se
4 2
Cartesian
1.3051 -5.5216 3.1583
0.7761 -1.8144 -1.0592
0.3724 -4.7392 0.7084
0.9014 -8.4464 4.9259
-0.9247 -6.6999 4.0491
-0.3082 -2.2333 1.3497
```

***

A relaxed structure of AlSiSe3. Source: Alexandria via LeMat-Bulk, functional PBEsol.

Computed properties:
Raw total energy in eV per atom: -4.1096
Space-group type: Pm-3m
V in Å³/f.u.: 109
Formation energy from raw total energies in eV per atom: 0.17

Structure (POSCAR):
```
AlSiSe3
1.0
-2.5053 3.2521 2.4441
-4.0660 -2.0945 -1.3809
0.1315 -2.8042 3.8660
Si Al Se
1 1 3
Cartesian
0.0000 0.0000 0.0000
-3.2199 -0.8233 2.4646
-2.0330 -1.0472 -0.6904
0.0658 -1.4021 1.9330
-1.2526 1.6260 1.2221
```

***

A relaxed structure of Sm9Al5Se21. Source: Alexandria via LeMat-Bulk, functional PBEsol.

Computed properties:
Raw total energy in eV per atom: -5.7365
Space-group type: R3
V in Å³/f.u.: 841
Formation energy from raw total energies in eV per atom: -1.53

Structure (POSCAR):
```
Sm9Al5Se21
1.0
-8.4754 -4.1369 7.3022
1.7884 -10.5121 -5.3447
8.8056 -1.5028 7.9039
Sm Al Se
18 10 42
Cartesian
2.9220 -10.1888 -1.8431
2.6396 -10.3337 10.0451
2.0196 -5.2245 6.7564
2.9711 -8.0181 1.9765
-6.0471 -6.5882 5.9812
3.8044 -13.1929 5.1119
-1.6841 -12.7611 6.9984
-2.2687 -7.5086 3.9367
5.7996 -3.6121 8.3104
0.2215 -11.2717 3.2176
-0.5492 -5.7557 -0.2057
-0.8299 -6.1574 11.8925
-1.6711 -2.8937 4.7229
8.2732 -9.7662 4.0259
-0.9246 -8.4688 8.0547
-3.6753 -12.8024 1.6201
4.4586 -8.8901 6.2080
3.7938 -3.3467 2.8069
3.7002 -6.9216 10.5145
4.7264 -12.1066 1.8016
-4.5122 -10.8139 5.9039
-2.3772 -5.1412 8.6111
-1.4032 -10.2106 0.0988
6.6361 -6.4188 4.5820
0.3027 -2.3079 1.4091
1.7545 -13.3755 8.1664
0.6910 -5.2678 3.2162
1.3664 -10.4168 6.3599
3.4165 -4.9328 9.2744
4.4553 -10.0898 0.6047
-4.7453 -8.8126 4.6734
-2.0234 -8.5186 10.7058
-0.9384 -13.6400 2.0845
7.1489 -9.7620 6.6987
4.9578 -8.6025 9.3918
4.1568 -3.2354 5.9399
-3.3754 -12.5238 4.6758
1.6199 -7.8919 11.1891
2.6833 -13.1906 2.3657
1.8823 -7.6678 -0.8311
-3.9420 -5.0840 4.6522
5.9840 -11.8205 3.8168
-3.3981 -10.5535 7.9916
-3.3273 -5.0226 10.7909
-2.3841 -10.1972 2.2572
5.5907 -6.3017 6.7383
-0.1289 -5.7689 9.0259
0.9063 -10.7388 0.4773
8.9195 -7.0157 4.8952
-3.3406 -7.0227 7.4762
-2.4285 -12.0797 -0.9609
5.7015 -8.3423 3.5583
1.9225 -8.1668 7.4312
1.1574 -2.6232 3.8595
-6.2126 -11.7624 2.5734
1.4935 -4.5942 12.6584
2.6687 -10.0444 4.1955
1.8062 -4.3732 0.8538
-1.5109 -4.0788 2.0487
8.2633 -10.6626 1.2646
-0.9232 -9.7520 5.4461
0.8910 -12.8747 5.5985
0.0639 -7.4091 2.1778
8.3007 -3.8827 6.8866
-0.5168 -5.5538 5.3413
0.4659 -11.0203 -3.1206
0.2157 -11.1315 8.5987
-6.1687 -4.9020 8.3258
3.5390 -11.4112 7.4267
2.9293 -5.9162 4.0074
```

***

A relaxed structure of SrAl2Se2. Source: Alexandria via LeMat-Bulk, functional PBEsol.

Computed properties:
Raw total energy in eV per atom: -4.1786
Space-group type: I4/mmm
V in Å³/f.u.: 116
Formation energy from raw total energies in eV per atom: -0.63

Structure (POSCAR):
```
SrAl2Se2
1.0
3.8038 0.0000 0.0000
0.0000 3.8038 0.0000
-1.9019 -1.9019 8.0067
Sr Al Se
1 2 2
Cartesian
0.0000 0.0000 0.0000
0.0000 1.9019 4.0034
1.9019 0.0000 4.0034
0.0000 0.0000 6.3020
1.9019 1.9019 1.7047
```

***

A relaxed structure of SrAl2Se. Source: Alexandria via LeMat-Bulk, functional PBEsol.

Computed properties:
Raw total energy in eV per atom: -3.9327
Space-group type: Immm
V in Å³/f.u.: 93
Formation energy from raw total energies in eV per atom: -0.46

Structure (POSCAR):
```
SrAl2Se
1.0
3.7181 0.0000 0.0000
0.0000 4.5673 0.0000
-1.8590 -2.2837 5.4796
Sr Al Se
1 2 1
Cartesian
0.0000 2.2837 0.0000
1.8590 2.2837 2.9694
0.0000 0.0000 2.5102
1.8590 0.0000 0.0000
```

***

A relaxed structure of SrAl2Se. Source: Alexandria via LeMat-Bulk, functional PBEsol.

Computed properties:
Raw total energy in eV per atom: -3.8634
Space-group type: Cmmm
V in Å³/f.u.: 102
Formation energy from raw total energies in eV per atom: -0.40

Structure (POSCAR):
```
SrAl2Se
1.0
-1.0514 2.6397 -3.4920
-0.7002 -4.0492 -1.8200
-4.8589 0.1363 1.5660
Sr Al Se
1 2 1
Cartesian
-2.9552 1.3880 -0.9630
-0.4147 -0.7694 -1.2197
-1.3369 -0.6401 -4.0923
-2.7796 -1.9564 -0.1270
```

***

> Number 8 is which compound?

AlSiSe3